[1]
{
  "formula": "PbSe4",
  "functional": "PBE-GGA",
  "state": "optimized geometry",
  "lattice": [[4.6171, -1.9084, 2.8786], [-4.2086, -3.9301, 0.2952], [1.4104, 0.8949, -5.5186]],
  "species": ["Pb", "Se", "Se", "Se", "Se"],
  "fractional_positions": [[0.0000, 0.0000, 0.0000], [0.0000, 0.0000, 0.5000], [0.0000, 0.5000, 0.0000], [0.5000, 0.5000, 0.5000], [0.5000, 0.0000, 0.0000]],
  "dft_energy_ev_per_cell": -15.1,
  "raw_formation_energy_ev_per_atom": 0.499,
  "spacegroup": "No. 229",
  "dos_ef_per_ev_cell": 4.4,
  "magmom_total_mub_per_atom": 0.00
}



[2]
{
  "formula": "PbSe2",
  "functional": "PBE-GGA",
  "state": "optimized geometry",
  "lattice": [[1.9059, -12.0194, 0.0000], [1.9059, 12.0194, 0.0000], [0.0000, 0.0000, 3.8965]],
  "species": ["Pb", "Se", "Se", "Se", "Pb", "Se"],
  "fractional_positions": [[0.8787, 0.1213, 0.7500], [0.5731, 0.4269, 0.7500], [0.7406, 0.2594, 0.2500], [0.2594, 0.7406, 0.7500], [0.1213, 0.8787, 0.2500], [0.4269, 0.5731, 0.2500]],
  "dft_energy_ev_per_cell": -22.4,
  "raw_formation_energy_ev_per_atom": -0.169,
  "spacegroup": "No. 63",
  "dos_ef_per_ev_cell": 2.6,
  "magmom_total_mub_per_atom": 0.00
}